Record 1
MgMnIr, optimized geometry, DFT PBE; N(E_F) = 3.37 states/eV/f.u.; electronic total energy = -6.60 eV/atom; size of the total moment = 1.13 μB/atom; space-group type = No. 12; ΔH_f (0 K) = -61 meV/atom
1.0
6.886 -1.466 0.000
6.886 1.466 0.000
-0.809 0.000 4.549
Mg Mn Ir
2 2 2
direct
0.072 0.072 0.295
0.928 0.928 0.705
0.250 0.250 0.745
0.750 0.750 0.255
0.396 0.396 0.185
0.604 0.604 0.815

---

Record 2
Er2TmHfAs4, optimized geometry, DFT PBE; N(E_F) = 1.33 states/eV/f.u.; electronic total energy = -6.66 eV/atom; size of the total moment = 0.00 μB/atom; space-group type = No. 10; ΔH_f (0 K) = -1388 meV/atom
1.0
6.932 0.000 0.000
0.000 3.998 0.000
-2.289 0.000 6.544
Er Tm Hf As
2 1 1 4
direct
0.000 0.000 0.000
0.500 0.500 0.000
0.000 0.500 0.500
0.500 0.000 0.500
0.255 0.000 0.743
0.260 0.500 0.261
0.740 0.500 0.739
0.745 0.000 0.257

---

Record 3
CeYRe4, optimized geometry, DFT PBE; N(E_F) = 13.02 states/eV/f.u.; electronic total energy = -10.43 eV/atom; size of the total moment = 0.00 μB/atom; space-group type = No. 216; ΔH_f (0 K) = -70 meV/atom
1.0
0.000 3.859 3.859
3.859 0.000 3.859
3.859 3.859 0.000
Ce Y Re
1 1 4
direct
0.000 0.000 0.000
0.250 0.250 0.250
0.125 0.625 0.625
0.625 0.125 0.625
0.625 0.625 0.125
0.625 0.625 0.625

---

Record 4
SrMgH4, optimized geometry, DFT PBE; N(E_F) = 0.00 states/eV/f.u.; electronic total energy = -3.15 eV/atom; size of the total moment = 0.00 μB/atom; space-group type = No. 14
1.0
6.960 0.000 0.000
0.000 6.984 0.000
-3.151 0.000 6.232
Sr Mg H
4 4 16
direct
0.166 0.135 0.316
0.166 0.365 0.816
0.834 0.635 0.184
0.834 0.865 0.684
0.348 0.685 0.239
0.348 0.815 0.739
0.652 0.185 0.261
0.652 0.315 0.761
0.081 0.673 0.593
0.081 0.827 0.093
0.180 0.040 0.681
0.180 0.460 0.181
0.362 0.119 0.108
0.362 0.381 0.608
0.389 0.659 0.982
0.389 0.841 0.482
0.611 0.159 0.518
0.611 0.341 0.018
0.638 0.619 0.392
0.638 0.881 0.892
0.820 0.540 0.819
0.820 0.960 0.319
0.919 0.173 0.907
0.919 0.327 0.407

---

Record 5
Nb3CdCl, optimized geometry, DFT PBE; N(E_F) = 7.49 states/eV/f.u.; electronic total energy = -4.52 eV/atom; size of the total moment = 0.00 μB/atom; space-group type = No. 221; uncorrected formation energy = 1003 kJ/mol of formula units; energy relative to the lowest polymorph listed for this composition = 1.5049 eV per atom
1.0
5.095 0.000 0.000
0.000 5.095 0.000
0.000 0.000 5.095
Nb Cd Cl
3 1 1
direct
0.000 0.000 0.500
0.000 0.500 0.000
0.500 0.000 0.000
0.000 0.000 0.000
0.500 0.500 0.500

---

Record 6
Dy2HoRu3, optimized geometry, DFT PBE; N(E_F) = 6.49 states/eV/f.u.; electronic total energy = -7.27 eV/atom; size of the total moment = 0.00 μB/atom; space-group type = No. 65; ΔH_f (0 K) = -332 meV/atom; energy relative to the lowest polymorph listed for this composition = 0.0000 eV per atom
1.0
2.394 -7.192 0.000
2.394 7.192 0.000
0.000 0.000 3.403
Dy Ho Ru
2 1 3
direct
0.166 0.834 0.000
0.834 0.166 0.000
0.500 0.500 0.000
0.000 0.000 0.500
0.334 0.666 0.500
0.666 0.334 0.500

---

Record 7
Th3P4Rh4, optimized geometry, DFT PBE; N(E_F) = 6.20 states/eV/f.u.; electronic total energy = -7.91 eV/atom; size of the total moment = 0.00 μB/atom; space-group type = No. 71; ΔH_f (0 K) = -1247 meV/atom
1.0
-2.016 2.051 12.158
2.016 -2.051 12.158
2.016 2.051 -12.158
Th P Rh
3 4 4
direct
0.000 0.000 0.000
0.353 0.853 0.500
0.647 0.147 0.500
0.193 0.693 0.500
0.452 0.452 0.000
0.548 0.548 0.000
0.807 0.307 0.500
0.095 0.595 0.500
0.250 0.250 0.000
0.750 0.750 0.000
0.905 0.405 0.500

---

Record 8
PrSmBeCu, optimized geometry, DFT PBE; N(E_F) = 3.56 states/eV/f.u.; electronic total energy = -4.29 eV/atom; size of the total moment = 0.00 μB/atom; space-group type = No. 216; ΔH_f (0 K) = 40 meV/atom
1.0
0.000 3.564 3.564
3.564 0.000 3.564
3.564 3.564 0.000
Pr Sm Be Cu
1 1 1 1
direct
0.000 0.000 0.000
0.500 0.500 0.500
0.250 0.250 0.250
0.750 0.750 0.750

---

Record 9
Li2Sm2Pd3, optimized geometry, DFT PBE; N(E_F) = 3.17 states/eV/f.u.; electronic total energy = -4.70 eV/atom; size of the total moment = 0.00 μB/atom; space-group type = No. 12; ΔH_f (0 K) = -576 meV/atom
1.0
4.270 -2.461 0.000
4.270 2.461 0.000
-2.859 0.000 7.008
Li Sm Pd
2 2 3
direct
0.132 0.132 0.396
0.868 0.868 0.604
0.391 0.391 0.174
0.609 0.609 0.826
0.000 0.000 0.000
0.254 0.254 0.762
0.746 0.746 0.238

---

Record 10
Pm2Sm6Dy, optimized geometry, DFT PBE; N(E_F) = 12.61 states/eV/f.u.; electronic total energy = -4.66 eV/atom; size of the total moment = 0.00 μB/atom; space-group type = No. 65; ΔH_f (0 K) = 57 meV/atom; energy relative to the lowest polymorph listed for this composition = 0.0000 eV per atom
1.0
4.942 -8.593 0.000
4.942 8.593 0.000
0.000 0.000 3.539
Pm Sm Dy
2 6 1
direct
0.167 0.833 0.000
0.833 0.167 0.000
0.168 0.168 0.500
0.168 0.500 0.500
0.500 0.168 0.500
0.500 0.832 0.500
0.832 0.500 0.500
0.832 0.832 0.500
0.500 0.500 0.000

---

Record 11
Pm6Sm12Th, optimized geometry, DFT PBE; N(E_F) = 27.37 states/eV/f.u.; electronic total energy = -4.75 eV/atom; size of the total moment = 0.00 μB/atom; space-group type = No. 166; ΔH_f (0 K) = 123 meV/atom; energy relative to the lowest polymorph listed for this composition = 0.0000 eV per atom
1.0
6.680 3.857 4.315
-6.680 3.857 4.315
0.000 -7.713 4.315
Pm Sm Th
6 12 1
direct
0.095 0.360 0.360
0.360 0.095 0.360
0.360 0.360 0.095
0.640 0.640 0.905
0.640 0.905 0.640
0.905 0.640 0.640
0.086 0.086 0.670
0.086 0.670 0.086
0.237 0.500 0.763
0.237 0.763 0.500
0.330 0.914 0.914
0.500 0.237 0.763
0.500 0.763 0.237
0.670 0.086 0.086
0.763 0.237 0.500
0.763 0.500 0.237
0.914 0.330 0.914
0.914 0.914 0.330
0.500 0.500 0.500

---

Record 12
Pa2Bi7Pb, optimized geometry, DFT PBE; N(E_F) = 13.07 states/eV/f.u.; electronic total energy = -4.68 eV/atom; size of the total moment = 0.00 μB/atom; space-group type = No. 65; ΔH_f (0 K) = 305 meV/atom
1.0
4.948 -6.948 0.000
4.948 6.948 0.000
0.000 0.000 5.953
Pa Bi Pb
2 7 1
direct
0.220 0.780 0.000
0.780 0.220 0.000
0.000 0.000 0.000
0.180 0.404 0.000
0.250 0.750 0.500
0.404 0.180 0.000
0.596 0.820 0.000
0.750 0.250 0.500
0.820 0.596 0.000
0.500 0.500 0.500